Entry from Alexandria via LeMat-Bulk: a relaxed structure of ZrIrAu (PBE-GGA).

## Properties
Crystal system: orthorhombic
Energy relative to the lowest polymorph listed for this composition in meV/atom: 24
E in eV per cell: -179.06
Symmetry: No. 43
Formation energy from the elements in meV per atom: -566

a b c (Å): 9.6965 5.1496 8.6546
angles (deg): 90.00 90.00 90.00
Fractional positions:
Ir  0.0000  0.0000  0.5352
Ir  0.2500  0.2500  0.7852
Ir  0.0000  0.5000  0.0352
Ir  0.2500  0.7500  0.2852
Ir  0.5000  0.0000  0.0352
Ir  0.7500  0.2500  0.2852
Ir  0.5000  0.5000  0.5352
Ir  0.7500  0.7500  0.7852
Au  0.0000  0.0000  0.8713
Au  0.2500  0.2500  0.1213
Au  0.0000  0.5000  0.3713
Au  0.2500  0.7500  0.6213
Au  0.5000  0.0000  0.3713
Au  0.7500  0.2500  0.6213
Au  0.5000  0.5000  0.8713
Au  0.7500  0.7500  0.1213
Zr  0.0000  0.0000  0.2178
Zr  0.2500  0.2500  0.4678
Zr  0.0000  0.5000  0.7178
Zr  0.2500  0.7500  0.9678
Zr  0.5000  0.0000  0.7178
Zr  0.7500  0.2500  0.9678
Zr  0.5000  0.5000  0.2178
Zr  0.7500  0.7500  0.4678

Entry from Alexandria via LeMat-Bulk: a relaxed structure of ZrIrAu (PBE-GGA).

## Properties
Crystal system: orthorhombic
Energy relative to the lowest polymorph listed for this composition in meV/atom: 13
E in eV per cell: -22.41
Symmetry: No. 44
Formation energy from the elements in meV per atom: -576

a b c (Å): 5.1171 5.1171 5.1171
angles (deg): 142.80 137.46 57.77
Fractional positions:
Ir  0.3225  0.3225  0.0000
Au  0.0001  0.0001  0.0000
Zr  0.6773  0.6773  0.0000

Entry from Alexandria via LeMat-Bulk: a relaxed structure of ZrIrAu (PBE-GGA).

## Properties
Crystal system: monoclinic
Energy relative to the lowest polymorph listed for this composition in meV/atom: 33
E in eV per cell: -44.71
Symmetry: No. 11
Formation energy from the elements in meV per atom: -556

a b c (Å): 4.9510 4.9180 5.1121
angles (deg): 90.00 118.76 90.00
Fractional positions:
Ir  0.3761  0.2500  0.2939
Ir  0.6239  0.7500  0.7061
Au  0.0407  0.2500  0.6462
Au  0.9593  0.7500  0.3538
Zr  0.7224  0.2500  0.9811
Zr  0.2776  0.7500  0.0189

Entry from Alexandria via LeMat-Bulk: a relaxed structure of Zr5IrAu (PBE-GGA).

## Properties
Crystal system: monoclinic
E in eV per cell: -113.44
Symmetry: No. 15
Formation energy from the elements in meV per atom: -263

a b c (Å): 5.4012 5.4012 10.7044
angles (deg): 78.91 78.91 84.63
Fractional positions:
Zr  0.9352  0.5275  0.1339
Zr  0.2240  0.5174  0.5509
Zr  0.5275  0.9352  0.6339
Zr  0.0276  0.9724  0.2500
Zr  0.4826  0.7760  0.9491
Zr  0.5174  0.2240  0.0509
Zr  0.9724  0.0276  0.7500
Zr  0.4725  0.0648  0.3661
Zr  0.7760  0.4826  0.4491
Zr  0.0648  0.4725  0.8661
Ir  0.0000  0.0000  0.0000
Ir  0.0000  0.0000  0.5000
Au  0.4165  0.5835  0.2500
Au  0.5835  0.4165  0.7500

Entry from Alexandria via LeMat-Bulk: a relaxed structure of ZrIrAu (PBE-GGA).

## Properties
Crystal system: orthorhombic
Energy relative to the lowest polymorph listed for this composition in meV/atom: 0
E in eV per cell: -89.82
Symmetry: No. 63
Formation energy from the elements in meV per atom: -589

a b c (Å): 4.4612 9.0550 5.4587
angles (deg): 90.00 90.00 90.00
Fractional positions:
Ir  0.0000  0.1194  0.2500
Ir  0.0000  0.8806  0.7500
Ir  0.5000  0.6194  0.2500
Ir  0.5000  0.3806  0.7500
Au  0.0000  0.5000  0.0000
Au  0.0000  0.5000  0.5000
Au  0.5000  0.0000  0.0000
Au  0.5000  0.0000  0.5000
Zr  0.0000  0.8000  0.2500
Zr  0.0000  0.2000  0.7500
Zr  0.5000  0.3000  0.2500
Zr  0.5000  0.7000  0.7500

Entry from Alexandria via LeMat-Bulk: a relaxed structure of ZrIrAu (PBE-GGA).

## Properties
Crystal system: trigonal
Energy relative to the lowest polymorph listed for this composition in meV/atom: 230
E in eV per cell: -21.76
Symmetry: No. 156
Formation energy from the elements in meV per atom: -359

a b c (Å): 4.6064 4.6064 2.9326
angles (deg): 90.00 90.00 120.00
Fractional positions:
Au  0.0000  0.0000  0.0207
Ir  0.3333  0.6667  0.3537
Zr  0.6667  0.3333  0.6257

no.,DOS(E_F) (states/eV/atom)
1,0.1816
2,0.4039
3,0.6983
4,1.1787
5,0.3946
6,0.6119